LiNb3Hg, optimized geometry, DFT PBE; total moment = 0.0 μB/f.u.; excess energy over the best structure of this formula in the dataset = 0 meV per atom; D(E_F) = 8.0 states/eV/f.u.; energy relative to the elements = 0.955 eV per atom; crystal system = cubic; final energy = -5.53 eV per atom
1.0
-2.521 3.455 -1.276
-3.634 -2.082 1.543
0.599 1.910 3.990
Nb Hg Li
3 1 1
Direct
0.000 0.500 0.000
0.000 0.000 0.500
0.500 0.000 0.000
0.500 0.500 0.500
0.000 0.000 0.000


Li3NbHg, optimized geometry, DFT PBE; total moment = 0.0 μB/f.u.; excess energy over the best structure of this formula in the dataset = 0 meV per atom; D(E_F) = 2.6 states/eV/f.u.; energy relative to the elements = 0.811 eV per atom; crystal system = cubic; final energy = -2.41 eV per atom
1.0
4.622 0.000 0.000
0.000 4.622 0.000
0.000 0.000 4.622
Nb Hg Li
1 1 3
Direct
0.500 0.500 0.500
0.000 0.000 0.000
0.000 0.500 0.000
0.000 0.000 0.500
0.500 0.000 0.000


LiNb2Hg, optimized geometry, DFT PBE; total moment = 0.0 μB/f.u.; D(E_F) = 2.7 states/eV/f.u.; energy relative to the elements = 0.591 eV per atom; crystal system = tetragonal; final energy = -5.00 eV per atom
1.0
-0.691 0.591 7.615
7.121 -2.715 0.857
4.139 1.329 4.134
Nb Hg Li
4 2 2
Direct
0.620 0.125 0.250
0.130 0.625 0.250
0.375 0.380 0.750
0.875 0.870 0.750
0.000 0.000 0.000
0.750 0.250 0.500
0.500 0.500 0.000
0.250 0.750 0.500


Li2NbHg2, optimized geometry, DFT PBE; total moment = 1.7 μB/f.u.; excess energy over the best structure of this formula in the dataset = 288 meV per atom; D(E_F) = 4.6 states/eV/f.u.; energy relative to the elements = 0.316 eV per atom; crystal system = tetragonal; final energy = -2.58 eV per atom
1.0
-1.799 0.808 -4.309
1.045 -4.445 -1.269
-4.030 -3.047 -1.495
Nb Hg Li
1 2 2
Direct
0.000 0.000 0.000
0.750 0.250 0.500
0.250 0.750 0.500
0.367 0.367 0.266
0.633 0.633 0.734